Entry 1:
Computed, not measured: a geometry-optimized TbLuNO structure at the PBE level of DFT.

Summary:
- DFT total energy (eV/atom) = -7.880
- space-group type = Pmma (51)
- energy above the most stable polymorph in this dataset (kJ/mol of formula units) = 17

a = 4.792 Å, b = 3.926 Å, c = 6.801 Å
α = 90.00°, β = 90.00°, γ = 90.00°
Atoms (fractional coordinates):
1 Tb 0.250 0.000 0.164
2 Tb 0.750 0.000 0.836
3 Lu 0.250 0.500 0.667
4 Lu 0.750 0.500 0.333
5 N 0.250 0.500 0.343
6 N 0.750 0.500 0.657
7 O 0.250 0.000 0.811
8 O 0.750 0.000 0.189

=====

Entry 2:
Computed, not measured: a geometry-optimized TbLuNO structure at the PBE level of DFT.

Summary:
- DFT total energy (eV/atom) = -7.864
- space-group type = Pbcm (57)
- energy above the most stable polymorph in this dataset (kJ/mol of formula units) = 23

a = 7.966 Å, b = 6.546 Å, c = 4.835 Å
α = 90.00°, β = 90.00°, γ = 90.00°
Atoms (fractional coordinates):
1 Tb 0.124 0.067 0.250
2 Tb 0.124 0.433 0.750
3 Tb 0.876 0.567 0.250
4 Tb 0.876 0.933 0.750
5 Lu 0.376 0.586 0.250
6 Lu 0.376 0.914 0.750
7 Lu 0.624 0.086 0.250
8 Lu 0.624 0.414 0.750
9 N 0.381 0.576 0.750
10 N 0.381 0.924 0.250
11 N 0.619 0.076 0.750
12 N 0.619 0.424 0.250
13 O 0.143 0.090 0.750
14 O 0.143 0.410 0.250
15 O 0.857 0.590 0.750
16 O 0.857 0.910 0.250

=====

Entry 3:
Computed, not measured: a geometry-optimized LuZnNO structure at the PBE level of DFT.

Summary:
- DFT total energy (eV/atom) = -6.375
- space-group type = Pca2_1 (29)
- energy above the most stable polymorph in this dataset (kJ/mol of formula units) = 30

a = 6.169 Å, b = 6.811 Å, c = 5.244 Å
α = 90.00°, β = 90.00°, γ = 90.00°
Atoms (fractional coordinates):
1 Lu 0.073 0.148 0.000
2 Lu 0.427 0.148 0.500
3 Lu 0.573 0.852 0.000
4 Lu 0.927 0.852 0.500
5 Zn 0.080 0.630 0.999
6 Zn 0.420 0.630 0.499
7 Zn 0.580 0.370 0.999
8 Zn 0.920 0.370 0.499
9 N 0.081 0.131 0.577
10 N 0.419 0.131 0.077
11 N 0.581 0.869 0.577
12 N 0.919 0.869 0.077
13 O 0.109 0.598 0.613
14 O 0.391 0.598 0.113
15 O 0.609 0.402 0.613
16 O 0.891 0.402 0.113

=====

Entry 4:
Computed, not measured: a geometry-optimized LuZnNO structure at the PBE level of DFT.

Summary:
- DFT total energy (eV/atom) = -6.452
- space-group type = Pmc2_1 (26)
- energy above the most stable polymorph in this dataset (kJ/mol of formula units) = 0

a = 3.655 Å, b = 6.002 Å, c = 4.935 Å
α = 90.00°, β = 90.00°, γ = 90.00°
Atoms (fractional coordinates):
1 Lu 0.000 0.190 0.000
2 Lu 0.000 0.810 0.500
3 Zn 0.500 0.308 0.508
4 Zn 0.500 0.692 0.008
5 N 0.000 0.174 0.464
6 N 0.000 0.826 0.964
7 O 0.500 0.355 0.939
8 O 0.500 0.645 0.439